Material: RbSc3Si
Method: DFT, PBE
State: optimized geometry

Computed properties:
- Total magnetization: 3.12 μB/cell
- E above lowest polymorph: 0 meV per atom
- Density: 2.7 g/cm3
- V: 150.41 Å³ per cell
- Uncorrected formation energy: 0.298 eV per atom
- Total DFT energy (no corrections): -23.89 eV per cell

Cell lengths 5.318, 5.318, 5.318 Å; angles 90.00, 90.00, 90.00 degrees
Sites, in units of the cell vectors:
Sc 0.000 0.000 0.500
Sc 0.500 0.000 0.000
Sc 0.000 0.500 0.000
Rb 0.500 0.500 0.500
Si 0.000 0.000 0.000